1.
! GGA-PBE Na2Cd2Sn3, relaxed; values from VASP
&SYSTEM
  ibrav = 0, nat = 7, ntyp = 3
/
ATOMIC_SPECIES
Na 22.99 Na.upf
Sn 118.71 Sn.upf
Cd 112.41 Cd.upf
CELL_PARAMETERS angstrom
4.471 -0.046 -1.426
-2.777 4.866 -0.830
0.331 -1.230 8.666
ATOMIC_POSITIONS angstrom
Na 2.731 1.603 0.863
Na -0.706 1.987 5.547
Sn 0.975 3.524 3.165
Sn 1.050 0.066 3.245
Sn 0.000 0.000 0.000
Cd 2.057 0.377 6.413
Cd -0.031 3.213 -0.003
! Theoretical density = 5.77 g cm⁻³
! Symmetry = P-1 (2)
! Polymorph energy (0 for the lowest one) = 0 meV/atom
! Calculated formation energy = -0.09 eV/atom
! E = -2.4469 eV per atom


2.
! GGA-PBE Ho2MnGa4Pt3, relaxed; values from VASP
&SYSTEM
  ibrav = 0, nat = 10, ntyp = 4
/
ATOMIC_SPECIES
Pt 195.08 Pt.upf
Ho 164.93 Ho.upf
Ga 69.72 Ga.upf
Mn 54.94 Mn.upf
CELL_PARAMETERS angstrom
-3.848 -1.095 0.319
0.621 -2.951 -2.648
2.715 -7.065 8.509
ATOMIC_POSITIONS angstrom
Pt 0.399 -6.592 7.439
Pt 0.702 -2.496 -0.095
Pt 1.357 -3.532 4.254
Ho -1.230 -2.353 2.334
Ho 2.331 -6.735 5.010
Ga -1.614 -2.023 -1.165
Ga -0.196 -5.044 5.575
Ga 0.000 0.000 0.000
Ga 1.297 -4.044 1.769
Mn -0.256 -5.555 3.089
! Theoretical density = 11.31 g cm⁻³
! Symmetry = P-4m2 (115)
! Calculated formation energy = -0.81 eV/atom
! E = -5.6658 eV per atom


3.
! GGA-PBE TlBiOs2Br, relaxed; values from VASP
&SYSTEM
  ibrav = 0, nat = 5, ntyp = 4
/
ATOMIC_SPECIES
Os 190.23 Os.upf
Tl 204.38 Tl.upf
Bi 208.98 Bi.upf
Br 79.90 Br.upf
CELL_PARAMETERS angstrom
4.660 0.000 0.000
0.000 5.739 0.000
0.000 0.000 4.660
ATOMIC_POSITIONS angstrom
Os 2.330 0.000 0.000
Os 0.000 0.000 2.330
Tl 0.000 2.870 0.000
Bi 2.330 2.870 2.330
Br 0.000 0.000 0.000
! Theoretical density = 11.64 g cm⁻³
! Symmetry = P4/mmm (123)
! Formation energy (no corrections) = 1.893 eV/atom
! E = -4.1827 eV per atom


4.
! GGA-PBE NpTl2Cl2F4, relaxed; values from VASP
&SYSTEM
  ibrav = 0, nat = 9, ntyp = 4
/
ATOMIC_SPECIES
F 19.00 F.upf
Cl 35.45 Cl.upf
Np 237.00 Np.upf
Tl 204.38 Tl.upf
CELL_PARAMETERS angstrom
-3.737 -3.903 -0.230
2.806 -1.555 -6.439
5.494 -4.424 -1.414
ATOMIC_POSITIONS angstrom
F 2.118 -2.909 -4.892
F 2.445 -6.973 -3.191
F 3.510 -4.395 -2.289
F 1.053 -5.487 -5.794
Cl 4.167 -7.502 -6.512
Cl 0.396 -2.380 -1.571
Np -1.868 -1.951 -0.115
Tl 4.896 -4.391 -5.126
Tl -0.333 -5.491 -2.957
! Theoretical density = 5.94 g cm⁻³
! Symmetry = C2/m (12)
! Formation energy (no corrections) = -2.335 eV/atom
! E = -5.5403 eV per atom


5.
! GGA-PBE Mn2ZnPt, relaxed; values from VASP
&SYSTEM
  ibrav = 0, nat = 4, ntyp = 3
/
ATOMIC_SPECIES
Pt 195.08 Pt.upf
Mn 54.94 Mn.upf
Zn 65.41 Zn.upf
CELL_PARAMETERS angstrom
-2.110 -0.727 8.477
-1.153 -3.342 8.022
0.653 -1.267 8.650
ATOMIC_POSITIONS angstrom
Pt -0.653 -1.334 6.287
Mn -1.302 -2.662 12.545
Mn -0.003 -0.006 0.030
Zn -1.958 -4.002 18.862
! Theoretical density = 10.36 g cm⁻³
! Symmetry = R-3m (166)
! Calculated formation energy = 0.00 eV/atom
! E = -6.4175 eV per atom


6.
! GGA-PBE Ce7AlGa2, relaxed; values from VASP
&SYSTEM
  ibrav = 0, nat = 10, ntyp = 3
/
ATOMIC_SPECIES
Ce 140.12 Ce.upf
Al 26.98 Al.upf
Ga 69.72 Ga.upf
CELL_PARAMETERS angstrom
-3.029 -2.125 -3.544
0.316 -7.349 4.136
-5.978 5.712 1.686
ATOMIC_POSITIONS angstrom
Ce -6.969 -0.942 2.819
Ce -1.722 -2.820 -0.541
Ce -4.579 2.809 2.230
Ce -3.158 0.160 -1.100
Ce -4.346 -1.881 1.139
Ce -5.533 -3.921 3.378
Ce -1.083 -4.445 3.591
Al 0.000 0.000 0.000
Ga -5.569 0.659 0.662
Ga -3.122 -4.420 1.615
! Theoretical density = 6.10 g cm⁻³
! Symmetry = Cmmm (65)
! Calculated formation energy = 0.19 eV/atom
! E = -4.9443 eV per atom


7.
! GGA-PBE Lu2PdAu, relaxed; values from VASP
&SYSTEM
  ibrav = 0, nat = 4, ntyp = 3
/
ATOMIC_SPECIES
Lu 174.97 Lu.upf
Au 196.97 Au.upf
Pd 106.42 Pd.upf
CELL_PARAMETERS angstrom
-2.738 1.820 1.118
-0.857 -2.602 2.134
3.953 2.842 5.053
ATOMIC_POSITIONS angstrom
Lu 2.984 2.145 3.814
Lu 0.969 0.697 1.239
Au 0.179 1.030 4.153
Pd -1.797 -0.391 1.626
! Theoretical density = 12.82 g cm⁻³
! Symmetry = P4/mmm (123)
! Calculated formation energy = -0.93 eV/atom
! E = -5.3089 eV per atom


8.
! GGA-PBE Dy2Tl3BiTe6, relaxed; values from VASP
&SYSTEM
  ibrav = 0, nat = 12, ntyp = 4
/
ATOMIC_SPECIES
Te 127.60 Te.upf
Tl 204.38 Tl.upf
Dy 162.50 Dy.upf
Bi 208.98 Bi.upf
CELL_PARAMETERS angstrom
7.795 -0.004 0.000
-3.899 6.750 0.000
-1.300 -2.250 8.123
ATOMIC_POSITIONS angstrom
Te 2.575 4.459 1.750
Te 3.918 2.209 6.378
Te 2.641 -0.001 1.745
Te -1.321 2.287 1.745
Te -0.045 4.497 6.378
Te 0.021 0.037 6.373
Tl 5.201 -0.006 4.061
Tl 1.298 2.248 4.061
Tl -2.604 4.502 4.061
Dy 3.900 2.246 0.000
Dy -0.004 4.501 0.000
Bi 0.000 0.000 0.000
! Theoretical density = 7.43 g cm⁻³
! Symmetry = C2/m (12)
! Formation energy (no corrections) = -0.801 eV/atom
! E = -4.0535 eV per atom


9.
! GGA-PBE ZrZnSb2, relaxed; values from VASP
&SYSTEM
  ibrav = 0, nat = 4, ntyp = 3
/
ATOMIC_SPECIES
Zr 91.22 Zr.upf
Zn 65.41 Zn.upf
Sb 121.76 Sb.upf
CELL_PARAMETERS angstrom
-0.372 -0.571 3.195
-2.986 -1.200 -0.562
3.425 -8.033 -1.038
ATOMIC_POSITIONS angstrom
Zr 0.890 -6.911 0.538
Zn -0.823 -2.894 1.057
Sb 1.735 -4.070 -0.526
Sb 3.402 -7.980 -1.031
! Theoretical density = 7.08 g cm⁻³
! Symmetry = P4/mmm (123)
! Formation energy (no corrections) = -0.099 eV/atom
! E = -4.6153 eV per atom


10.
! GGA-PBE V5ZnGe5, relaxed; values from VASP
&SYSTEM
  ibrav = 0, nat = 11, ntyp = 3
/
ATOMIC_SPECIES
Ge 72.64 Ge.upf
V 50.94 V.upf
Zn 65.41 Zn.upf
CELL_PARAMETERS angstrom
-4.639 -1.105 -0.242
3.404 -3.441 -2.446
-0.705 0.879 9.487
ATOMIC_POSITIONS angstrom
Ge -2.352 -1.410 4.427
Ge -2.319 -0.552 -0.121
Ge 0.414 -2.256 2.372
Ge -1.612 -3.465 -0.390
Ge -0.327 -0.202 7.189
V 0.218 -1.964 4.791
V -0.352 0.439 4.744
V -2.156 -1.703 2.008
V 0.601 -2.505 -0.089
V -2.540 -1.162 6.888
Zn 0.000 0.000 0.000
! Theoretical density = 6.48 g cm⁻³
! Symmetry = C2/m (12)
! Calculated formation energy = 0.19 eV/atom
! E = -6.1670 eV per atom


11.
! GGA-PBE LaOsBr2, relaxed; values from VASP
&SYSTEM
  ibrav = 0, nat = 4, ntyp = 3
/
ATOMIC_SPECIES
Os 190.23 Os.upf
Br 79.90 Br.upf
La 138.91 La.upf
CELL_PARAMETERS angstrom
-1.913 -1.027 -4.050
-2.223 -3.522 1.943
-3.217 2.517 0.882
ATOMIC_POSITIONS angstrom
Os -2.720 -0.503 1.412
Br 0.000 0.000 0.000
Br -2.068 -2.275 -1.054
La -2.565 0.745 -1.584
! Theoretical density = 9.20 g cm⁻³
! Symmetry = P4/mmm (123)
! Formation energy (no corrections) = 0.059 eV/atom
! Polymorph energy (0 for the lowest one) = 541 meV/atom
! E = -4.8167 eV per atom


12.
! GGA-PBE BaCa2Sc, relaxed; values from VASP
&SYSTEM
  ibrav = 0, nat = 4, ntyp = 3
/
ATOMIC_SPECIES
Ba 137.33 Ba.upf
Sc 44.96 Sc.upf
Ca 40.08 Ca.upf
CELL_PARAMETERS angstrom
-1.340 -5.722 -1.347
2.779 -1.153 2.136
-3.454 -0.670 6.284
ATOMIC_POSITIONS angstrom
Ba -1.176 -4.229 5.642
Sc -0.838 -3.317 1.432
Ca -0.044 -0.029 0.169
Ca -0.293 -0.882 4.041
! Theoretical density = 2.76 g cm⁻³
! Symmetry = P2/m (10)
! Polymorph energy (0 for the lowest one) = 59 meV/atom
! Calculated formation energy = 0.24 eV/atom
! E = -2.8266 eV per atom